Record 1
# MgCr2Hg (PBE, optimized geometry)
# Distance to the lowest polymorph of the same formula in eV per atom: 0.5621
# DFT formation energy in meV/atom: 769
# Total magnetization in μB per atom: 0.000
# Crystal system: tetragonal
# Energy in eV/atom: -4.517
# Volume in Å³ per cell: 63
data_MgCr2Hg
_cell_length_a 2.6973
_cell_length_b 2.6973
_cell_length_c 8.7151
_cell_angle_alpha 90.00
_cell_angle_beta 90.00
_cell_angle_gamma 90.00
_symmetry_space_group_name_H-M 'P 1'
_symmetry_Int_Tables_number 1
_symmetry_space_group_name_Hall 'P 1'
loop_
_atom_site_label
_atom_site_type_symbol
_atom_site_fract_x
_atom_site_fract_y
_atom_site_fract_z
Mg1 Mg 0.0000 0.0000 0.0000
Cr1 Cr 0.5000 0.5000 0.2480
Cr2 Cr 0.5000 0.5000 0.7520
Hg1 Hg 0.0000 0.0000 0.5000


Record 2
# MgCr2Hg (PBE, optimized geometry)
# Distance to the lowest polymorph of the same formula in eV per atom: 0.0000
# DFT formation energy in meV/atom: 207
# Total magnetization in μB per atom: 0.030
# Crystal system: tetragonal
# Energy in eV/atom: -5.079
# Volume in Å³ per cell: 67
data_MgCr2Hg
_cell_length_a 3.1182
_cell_length_b 3.1182
_cell_length_c 6.9329
_cell_angle_alpha 90.00
_cell_angle_beta 90.00
_cell_angle_gamma 90.00
_symmetry_space_group_name_H-M 'P 1'
_symmetry_Int_Tables_number 1
_symmetry_space_group_name_Hall 'P 1'
loop_
_atom_site_label
_atom_site_type_symbol
_atom_site_fract_x
_atom_site_fract_y
_atom_site_fract_z
Mg1 Mg 0.0000 0.0000 0.0000
Cr1 Cr 0.0000 0.0000 0.4255
Cr2 Cr 0.5000 0.5000 0.2775
Hg1 Hg 0.5000 0.5000 0.7078


Record 3
# Mg3CrHg (PBE, optimized geometry)
# Distance to the lowest polymorph of the same formula in eV per atom: 0.0000
# DFT formation energy in meV/atom: 579
# Total magnetization in μB per atom: 1.011
# Crystal system: cubic
# Energy in eV/atom: -2.363
# Volume in Å³ per cell: 140
data_Mg3CrHg
_cell_length_a 5.1867
_cell_length_b 5.1867
_cell_length_c 5.1867
_cell_angle_alpha 90.00
_cell_angle_beta 90.00
_cell_angle_gamma 90.00
_symmetry_space_group_name_H-M 'P 1'
_symmetry_Int_Tables_number 1
_symmetry_space_group_name_Hall 'P 1'
loop_
_atom_site_label
_atom_site_type_symbol
_atom_site_fract_x
_atom_site_fract_y
_atom_site_fract_z
Mg1 Mg 0.0000 0.0000 0.5000
Mg2 Mg 0.0000 0.5000 0.0000
Mg3 Mg 0.5000 0.0000 0.0000
Cr1 Cr 0.5000 0.5000 0.5000
Hg1 Hg 0.0000 0.0000 0.0000


Record 4
# MgCr3Hg (PBE, optimized geometry)
# Distance to the lowest polymorph of the same formula in eV per atom: 0.0000
# DFT formation energy in meV/atom: 1354
# Total magnetization in μB per atom: 2.640
# Crystal system: cubic
# Energy in eV/atom: -4.800
# Volume in Å³ per cell: 136
data_MgCr3Hg
_cell_length_a 5.1467
_cell_length_b 5.1467
_cell_length_c 5.1467
_cell_angle_alpha 90.00
_cell_angle_beta 90.00
_cell_angle_gamma 90.00
_symmetry_space_group_name_H-M 'P 1'
_symmetry_Int_Tables_number 1
_symmetry_space_group_name_Hall 'P 1'
loop_
_atom_site_label
_atom_site_type_symbol
_atom_site_fract_x
_atom_site_fract_y
_atom_site_fract_z
Mg1 Mg 0.0000 0.0000 0.0000
Cr1 Cr 0.0000 0.5000 0.5000
Cr2 Cr 0.5000 0.0000 0.5000
Cr3 Cr 0.5000 0.5000 0.0000
Hg1 Hg 0.5000 0.5000 0.5000


Record 5
# MgCrHg (PBE, optimized geometry)
# DFT formation energy in meV/atom: 254
# Total magnetization in μB per atom: 1.459
# Crystal system: tetragonal
# Energy in eV/atom: -3.586
# Volume in Å³ per cell: 59
data_MgCrHg
_cell_length_a 5.2362
_cell_length_b 5.2362
_cell_length_c 5.2362
_cell_angle_alpha 139.99
_cell_angle_beta 139.99
_cell_angle_gamma 57.87
_symmetry_space_group_name_H-M 'P 1'
_symmetry_Int_Tables_number 1
_symmetry_space_group_name_Hall 'P 1'
loop_
_atom_site_label
_atom_site_type_symbol
_atom_site_fract_x
_atom_site_fract_y
_atom_site_fract_z
Mg1 Mg 0.0000 0.0000 0.0000
Cr1 Cr 0.3314 0.3314 0.0000
Hg1 Hg 0.6683 0.6683 0.0000


Record 6
# MgCr2Hg (PBE, optimized geometry)
# Distance to the lowest polymorph of the same formula in eV per atom: 0.3753
# DFT formation energy in meV/atom: 582
# Total magnetization in μB per atom: 0.291
# Crystal system: monoclinic
# Energy in eV/atom: -4.704
# Volume in Å³ per cell: 67
data_MgCr2Hg
_cell_length_a 2.8776
_cell_length_b 4.7442
_cell_length_c 4.9362
_cell_angle_alpha 90.00
_cell_angle_beta 96.60
_cell_angle_gamma 90.00
_symmetry_space_group_name_H-M 'P 1'
_symmetry_Int_Tables_number 1
_symmetry_space_group_name_Hall 'P 1'
loop_
_atom_site_label
_atom_site_type_symbol
_atom_site_fract_x
_atom_site_fract_y
_atom_site_fract_z
Mg1 Mg 0.0000 0.0000 0.0000
Cr1 Cr 0.3368 0.5000 0.8125
Cr2 Cr 0.6632 0.5000 0.1875
Hg1 Hg 0.5000 0.0000 0.5000


Record 7
# MgCr2Hg (PBE, optimized geometry)
# Distance to the lowest polymorph of the same formula in eV per atom: 0.5599
# DFT formation energy in meV/atom: 767
# Total magnetization in μB per atom: 0.000
# Crystal system: orthorhombic
# Energy in eV/atom: -4.519
# Volume in Å³ per cell: 63
data_MgCr2Hg
_cell_length_a 2.6939
_cell_length_b 2.6939
_cell_length_c 8.8181
_cell_angle_alpha 90.00
_cell_angle_beta 90.00
_cell_angle_gamma 97.79
_symmetry_space_group_name_H-M 'P 1'
_symmetry_Int_Tables_number 1
_symmetry_space_group_name_Hall 'P 1'
loop_
_atom_site_label
_atom_site_type_symbol
_atom_site_fract_x
_atom_site_fract_y
_atom_site_fract_z
Mg1 Mg 0.0000 0.0000 0.0000
Cr1 Cr 0.5000 0.5000 0.2475
Cr2 Cr 0.5000 0.5000 0.7525
Hg1 Hg 0.0000 0.0000 0.5000


Record 8
# MgCrHg (PBE, optimized geometry)
# DFT formation energy in meV/atom: 436
# Total magnetization in μB per atom: 1.400
# Crystal system: cubic
# Energy in eV/atom: -3.404
# Volume in Å³ per cell: 70
data_MgCrHg
_cell_length_a 4.6180
_cell_length_b 4.6180
_cell_length_c 4.6180
_cell_angle_alpha 60.00
_cell_angle_beta 60.00
_cell_angle_gamma 60.00
_symmetry_space_group_name_H-M 'P 1'
_symmetry_Int_Tables_number 1
_symmetry_space_group_name_Hall 'P 1'
loop_
_atom_site_label
_atom_site_type_symbol
_atom_site_fract_x
_atom_site_fract_y
_atom_site_fract_z
Mg1 Mg 0.0000 0.0000 0.0000
Cr1 Cr 0.5000 0.5000 0.5000
Hg1 Hg 0.7500 0.7500 0.7500


Record 9
# MgCr2Hg (PBE, optimized geometry)
# Distance to the lowest polymorph of the same formula in eV per atom: 0.1133
# DFT formation energy in meV/atom: 320
# Total magnetization in μB per atom: 0.031
# Crystal system: tetragonal
# Energy in eV/atom: -4.966
# Volume in Å³ per cell: 70
data_MgCr2Hg
_cell_length_a 5.0396
_cell_length_b 5.0396
_cell_length_c 5.0396
_cell_angle_alpha 131.68
_cell_angle_beta 131.68
_cell_angle_gamma 70.74
_symmetry_space_group_name_H-M 'P 1'
_symmetry_Int_Tables_number 1
_symmetry_space_group_name_Hall 'P 1'
loop_
_atom_site_label
_atom_site_type_symbol
_atom_site_fract_x
_atom_site_fract_y
_atom_site_fract_z
Mg1 Mg 0.0000 0.0000 0.0000
Cr1 Cr 0.2500 0.7500 0.5000
Cr2 Cr 0.5000 0.5000 0.0000
Hg1 Hg 0.7500 0.2500 0.5000


Record 10
# MgCr2Hg (PBE, optimized geometry)
# Distance to the lowest polymorph of the same formula in eV per atom: 0.3078
# DFT formation energy in meV/atom: 514
# Total magnetization in μB per atom: 1.890
# Crystal system: tetragonal
# Energy in eV/atom: -4.771
# Volume in Å³ per cell: 74
data_MgCr2Hg
_cell_length_a 3.3782
_cell_length_b 3.3782
_cell_length_c 6.4477
_cell_angle_alpha 90.00
_cell_angle_beta 90.00
_cell_angle_gamma 90.00
_symmetry_space_group_name_H-M 'P 1'
_symmetry_Int_Tables_number 1
_symmetry_space_group_name_Hall 'P 1'
loop_
_atom_site_label
_atom_site_type_symbol
_atom_site_fract_x
_atom_site_fract_y
_atom_site_fract_z
Mg1 Mg 0.0000 0.0000 0.0000
Cr1 Cr 0.5000 0.5000 0.2530
Cr2 Cr 0.5000 0.5000 0.7470
Hg1 Hg 0.0000 0.0000 0.5000


Record 11
# MgCrHg4 (PBE, optimized geometry)
# DFT formation energy in meV/atom: 382
# Total magnetization in μB per atom: 0.733
# Crystal system: cubic
# Energy in eV/atom: -1.689
# Volume in Å³ per cell: 139
data_MgCrHg4
_cell_length_a 5.8183
_cell_length_b 5.8183
_cell_length_c 5.8183
_cell_angle_alpha 60.00
_cell_angle_beta 60.00
_cell_angle_gamma 60.00
_symmetry_space_group_name_H-M 'P 1'
_symmetry_Int_Tables_number 1
_symmetry_space_group_name_Hall 'P 1'
loop_
_atom_site_label
_atom_site_type_symbol
_atom_site_fract_x
_atom_site_fract_y
_atom_site_fract_z
Mg1 Mg 0.0000 0.0000 0.0000
Cr1 Cr 0.7500 0.7500 0.7500
Hg1 Hg 0.3752 0.3752 0.3752
Hg2 Hg 0.3752 0.3752 0.8743
Hg3 Hg 0.3752 0.8743 0.3752
Hg4 Hg 0.8743 0.3752 0.3752


Record 12
# MgCr2Hg (PBE, optimized geometry)
# Distance to the lowest polymorph of the same formula in eV per atom: 0.6130
# DFT formation energy in meV/atom: 820
# Total magnetization in μB per atom: 2.129
# Crystal system: tetragonal
# Energy in eV/atom: -4.466
# Volume in Å³ per cell: 170
data_MgCr2Hg
_cell_length_a 6.1409
_cell_length_b 6.1409
_cell_length_c 6.1409
_cell_angle_alpha 103.00
_cell_angle_beta 103.00
_cell_angle_gamma 123.39
_symmetry_space_group_name_H-M 'P 1'
_symmetry_Int_Tables_number 1
_symmetry_space_group_name_Hall 'P 1'
loop_
_atom_site_label
_atom_site_type_symbol
_atom_site_fract_x
_atom_site_fract_y
_atom_site_fract_z
Mg1 Mg 0.0000 0.0000 0.0000
Mg2 Mg 0.7500 0.2500 0.5000
Cr1 Cr 0.1374 0.6250 0.0124
Cr2 Cr 0.3750 0.3874 0.5124
Cr3 Cr 0.6126 0.1250 0.9876
Cr4 Cr 0.8750 0.8626 0.4876
Hg1 Hg 0.2500 0.7500 0.5000
Hg2 Hg 0.5000 0.5000 0.0000